Entry 1:
Material: CsLiC2
Method: DFT, PBE
State: optimized geometry

Its formation energy is 62.2 kcal/mol of atoms. Its space group is Fm-3m, No. 225. Its polymorph energy (0 for the lowest one) is 807 meV/atom.

Lattice parameters (Å, degrees): 4.720 4.720 4.720 60.00 60.00 60.00
Sites, in units of the cell vectors:
Cs 0.000 0.000 0.000
Li 0.500 0.500 0.500
C 0.250 0.250 0.250
C 0.750 0.750 0.750

---

Entry 2:
Material: TaCr3Sn
Method: DFT, PBE
State: optimized geometry

Its formation energy is 43.4 kcal/mol of atoms. Its space group is Pm-3m, No. 221. Its polymorph energy (0 for the lowest one) is 450 meV/atom.

Lattice parameters (Å, degrees): 4.796 4.796 4.796 90.00 90.00 90.00
Sites, in units of the cell vectors:
Ta 0.000 0.000 0.000
Cr 0.000 0.500 0.500
Cr 0.500 0.000 0.500
Cr 0.500 0.500 0.000
Sn 0.500 0.500 0.500

---

Entry 3:
Material: RbYPO2
Method: DFT, PBE
State: optimized geometry

Its space group is P4/mmm, No. 123. Its polymorph energy (0 for the lowest one) is 1342 meV/atom. The value obtained for the raw formation energy is 236.1 meV per atom.

Lattice parameters (Å, degrees): 4.280 4.280 5.512 90.00 90.00 90.00
Sites, in units of the cell vectors:
Rb 0.000 0.000 0.000
Y 0.500 0.500 0.500
P 0.000 0.000 0.500
O 0.000 0.500 0.000
O 0.500 0.000 0.000

---

Entry 4:
Material: HfSiGe
Method: DFT, PBE
State: optimized geometry

Its space group is P4/nmm, No. 129. Its polymorph energy (0 for the lowest one) is 135 meV/atom. The value obtained for the raw formation energy is -375.2 meV per atom.

Lattice parameters (Å, degrees): 3.518 3.518 8.706 90.00 90.00 90.00
Sites, in units of the cell vectors:
Hf 0.250 0.250 0.247
Hf 0.750 0.750 0.753
Si 0.250 0.750 0.000
Si 0.750 0.250 0.000
Ge 0.250 0.250 0.581
Ge 0.750 0.750 0.419

---

Entry 5:
Material: Co2PbSe
Method: DFT, PBE
State: optimized geometry

Its space group is P4mm, No. 99. Its polymorph energy (0 for the lowest one) is 0 meV/atom. The value obtained for the raw formation energy is 57.8 meV per atom.

Lattice parameters (Å, degrees): 3.665 3.665 6.296 90.00 90.00 90.00
Sites, in units of the cell vectors:
Co 0.000 0.500 0.000
Co 0.500 0.000 0.000
Pb 0.000 0.000 0.310
Se 0.500 0.500 0.789

---

Entry 6:
Material: SrMgAs
Method: DFT, PBE
State: optimized geometry

Its formation energy is -10.3 kcal/mol of atoms. Its space group is Imm2, No. 44. Its polymorph energy (0 for the lowest one) is 285 meV/atom.

Lattice parameters (Å, degrees): 6.361 6.361 6.361 147.36 144.37 49.09
Sites, in units of the cell vectors:
Sr 0.000 0.000 0.000
Mg 0.719 0.719 0.000
As 0.319 0.319 0.000

---

Entry 7:
Material: NbCr2CoGe
Method: DFT, PBE
State: optimized geometry

Its formation energy is 30.8 kcal/mol of atoms. Its space group is P4/mmm, No. 123.

Lattice parameters (Å, degrees): 4.433 4.433 4.827 90.00 90.00 90.00
Sites, in units of the cell vectors:
Nb 0.000 0.000 0.000
Cr 0.000 0.500 0.500
Cr 0.500 0.000 0.500
Co 0.500 0.500 0.000
Ge 0.000 0.000 0.500

---

Entry 8:
Material: CdAg2GeW
Method: DFT, PBE
State: optimized geometry

Its formation energy is 21.7 kcal/mol of atoms. Its space group is P4/mmm, No. 123.

Lattice parameters (Å, degrees): 4.757 4.757 4.816 90.00 90.00 90.00
Sites, in units of the cell vectors:
Cd 0.000 0.000 0.000
Ag 0.000 0.500 0.500
Ag 0.500 0.000 0.500
Ge 0.500 0.500 0.500
W 0.500 0.500 0.000

---

no.,volume (Å³ per cell)
1,74
2,110
3,101
4,108
5,85
6,81
7,95
8,109